This record from Alexandria via LeMat-Bulk describes a geometry-optimized Dy2GaH structure. The functional is PBE.

The value obtained for the total energy is -51.181 eV per cell.

abc: 3.6027 3.6027 21.4560
angles: 90.00 90.00 120.00
Closest atoms and distances in Å follow each position.
Space group R-3m (No. 166, hexagonal axes)
Symmetry-distinct sites (fractional):
Dy  0.0000  0.0000  0.2320  3 H 2.51
Ga  0.0000  0.0000  0.0000  6 Dy 3.01
H  0.0000  0.0000  0.5000  6 Dy 2.51

This record from Alexandria via LeMat-Bulk describes a geometry-optimized Rb4NdNp3S8 structure. The functional is PBE.

The formation energy from raw total energies comes out at -23.582 eV per formula unit.

abc: 8.3093 8.3093 23.0433
angles: 90.00 90.00 120.00
Closest atoms and distances in Å follow each position.
Space group R-3m (No. 166, hexagonal axes)
Symmetry-distinct sites (fractional):
Rb  0.0000  0.0000  0.0000  6 S 3.33
Rb  0.0000  0.5000  0.0000  6 S 3.38-3.40
Nd  0.0000  0.0000  0.5000  6 S 2.86
Np  0.0000  0.5000  0.5000  6 S 2.80
S  0.0000  0.0000  0.2291  3 Np 2.80
S  0.0062  0.5031  0.7687  2 Np 2.80, 1 Nd 2.86

This record from Alexandria via LeMat-Bulk describes a geometry-optimized Mg2AlW structure. The functional is PBE.

The value obtained for the total energy is -56.069 eV per cell.

abc: 2.9477 2.9477 28.7071
angles: 90.00 90.00 120.00
Closest atoms and distances in Å follow each position.
Space group R-3m (No. 166, hexagonal axes)
Symmetry-distinct sites (fractional):
Mg  0.0000  0.0000  0.2504  3 W 2.93, 3 Al 2.95, 6 Mg 2.95
Al  0.0000  0.0000  0.5000  6 Mg 2.95, 6 Al 2.95
W  0.0000  0.0000  0.0000  6 Mg 2.93, 6 W 2.95

This record from Alexandria via LeMat-Bulk describes a geometry-optimized CsNi2BiCl8 structure. The functional is PBE.

The formation energy from raw total energies comes out at -10.483 eV per formula unit.

abc: 6.6015 6.6015 29.4009
angles: 90.00 90.00 120.00
Closest atoms and distances in Å follow each position.
Space group R-3 (No. 148, hexagonal axes)
Symmetry-distinct sites (fractional):
Cs  0.0000  0.0000  0.0000  12 Cl 3.84-3.96
Ni  0.0000  0.0000  0.2428  4 Cl 2.17-2.26
Bi  0.0000  0.0000  0.5000  6 Cl 2.75
Cl  0.0000  0.0000  0.3167  1 Ni 2.17
Cl  0.0023  0.6635  0.4453  1 Ni 2.26

This record from Alexandria via LeMat-Bulk describes a geometry-optimized Ag2Au structure. The functional is PBE.

The value obtained for the total energy is -18.145 eV per cell.

abc: 2.9316 2.9316 12.5075
angles: 90.00 90.00 90.00
Closest atoms and distances in Å follow each position.
Space group I4/mmm (No. 139)
Symmetry-distinct sites (fractional):
Ag  0.0000  0.0000  0.1669  8 Ag 2.93-2.94, 4 Au 2.94
Au  0.0000  0.0000  0.5000  4 Au 2.93, 8 Ag 2.94

This record from Alexandria via LeMat-Bulk describes a geometry-optimized MgAgAs2 structure. The functional is PBE.

The value obtained for the total energy is -55.393 eV per cell.

abc: 4.4399 4.4399 17.3594
angles: 90.00 90.00 90.00
Closest atoms and distances in Å follow each position.
Space group I-42d (No. 122)
Symmetry-distinct sites (fractional):
Mg  0.0000  0.0000  0.0000  4 As 2.69
Ag  0.0000  0.0000  0.5000  4 As 2.67
As  0.2433  0.2500  0.6250  2 Ag 2.67, 2 Mg 2.69

This record from Alexandria via LeMat-Bulk describes a geometry-optimized AlCu3Se4 structure. The functional is PBE.

The formation energy from raw total energies comes out at -3.142 eV per formula unit.

abc: 5.5435 5.5435 11.2364
angles: 90.00 90.00 90.00
Closest atoms and distances in Å follow each position.
Space group I-42m (No. 121)
Symmetry-distinct sites (fractional):
Al  0.0000  0.0000  0.0000  4 Se 2.43
Cu  0.0000  0.0000  0.5000  4 Se 2.40
Cu  0.0000  0.5000  0.2500  4 Se 2.41
Se  0.2482  0.2482  0.3743  3 Cu 2.40-2.41, 1 Al 2.43

This record from Alexandria via LeMat-Bulk describes a geometry-optimized TbTmPu2Se4 structure. The functional is PBE.

The formation energy from raw total energies comes out at -13.169 eV per formula unit.

abc: 7.0627 4.0906 7.1564
angles: 90.00 109.45 90.00
Closest atoms and distances in Å follow each position.
Space group P2/m (No. 10)
Symmetry-distinct sites (fractional):
Tb  0.0000  0.0000  0.0000  6 Se 2.89
Tm  0.0000  0.5000  0.5000  6 Se 2.86
Pu  0.5000  0.0000  0.5000  6 Se 2.91-2.92
Pu  0.5000  0.5000  0.0000  6 Se 2.94-2.95
Se  0.2417  0.0000  0.7447  2 Tm 2.86, 1 Tb 2.89, 3 Pu 2.92-2.94
Se  0.2442  0.5000  0.2519  1 Tm 2.86, 2 Tb 2.89, 3 Pu 2.91-2.95